DFT (PBE-GGA) results for a relaxed ZnAs2C6S12N12O6F12 crystal.

Lattice parameters (Å, degrees): 11.3774 11.3774 6.4602 90.00 90.00 120.00
Space group P-3 (No. 147)
Asymmetric unit:
Zn 0.0000 0.0000 0.0000 [1 per cell]
As 0.3333 0.6667 0.9477 [2 per cell]
C 0.0922 0.8438 0.7378 [6 per cell]
S 0.0156 0.3216 0.1480 [6 per cell]
S 0.0863 0.6812 0.4795 [6 per cell]
N 0.0049 0.4103 0.3342 [6 per cell]
N 0.1367 0.8322 0.5507 [6 per cell]
O 0.0453 0.1700 0.8254 [6 per cell]
F 0.2022 0.6574 0.1057 [6 per cell]
F 0.2117 0.5346 0.7899 [6 per cell]

Summary:
* DFT total energy: -299.4 eV per cell